Record 1
Here is PmPSe after structural relaxation from Alexandria via LeMat-Bulk. Energies are from PBE.

```
PmPSe
1.0
5.6022 0.0000 0.0000
0.0000 5.6775 0.0000
0.0000 0.0000 17.5829
Pm Se P
8 8 8
Cartesian
4.2017 0.1009 11.2816
1.4006 2.9410 11.0920
1.4006 5.5766 6.3012
4.2017 2.7365 6.4909
4.2017 5.5753 2.3006
4.2017 2.9396 15.0927
1.4006 2.7379 2.4902
1.4006 0.1023 15.2823
1.4006 0.0949 12.1379
4.2017 2.7438 3.3464
4.2017 2.9214 12.0141
1.4006 5.5949 3.2227
4.2017 5.5826 5.4450
1.4006 2.9337 14.2364
1.4006 2.7561 5.5688
4.2017 0.0827 14.3602
3.0590 4.5783 8.8442
2.5432 1.0992 8.7387
5.3443 1.7395 17.5301
0.2579 1.0992 8.7387
0.2579 3.9380 0.0527
2.5432 3.9380 0.0527
5.3443 4.5783 8.8442
3.0590 1.7395 17.5301
```

total magnetization: 0.000 μB/atom
formation energy from raw total energies: -1.45 eV per atom
V: 23.30 Å³ per atom
distance to the lowest polymorph of the same formula: 0.0 meV per atom
space-group type: Pnma, No. 62
E_tot: -5.996 eV/atom

Record 2
Here is Pm6SiP2Se3 after structural relaxation from Alexandria via LeMat-Bulk. Energies are from PBE.

```
Pm6SiP2Se3
1.0
4.1753 0.0000 0.0000
0.0000 8.4172 0.2425
-2.0877 -2.4882 8.8297
Pm Se P Si
6 3 2 1
Cartesian
0.0000 2.0272 0.1236
0.0000 1.9586 5.9155
2.0877 -0.0290 2.9052
2.0877 3.9705 3.1567
2.0877 3.9019 8.9486
0.0000 5.9580 6.1670
2.0877 4.2086 0.1212
0.0000 6.1723 3.1518
2.0877 -0.2433 5.9204
2.0877 3.9455 6.0333
0.0000 1.9836 3.0389
2.0877 0.0000 0.0000
```

total magnetization: 0.000 μB/atom
formation energy from raw total energies: -1.64 eV per atom
V: 26.07 Å³ per atom
space-group type: C2/m, No. 12
E_tot: -6.237 eV/atom

Record 3
Here is Pm6Si2PSe3 after structural relaxation from Alexandria via LeMat-Bulk. Energies are from PBE.

```
Pm6Si2PSe3
1.0
4.2018 0.0000 0.0000
0.0000 8.4624 0.2688
-2.1009 -2.4756 8.8692
Si Pm P Se
2 6 1 3
Cartesian
2.1009 3.9973 6.1007
0.0000 1.9895 3.0374
0.0000 2.0144 0.1276
0.0000 1.9403 5.9894
2.1009 4.0464 3.1487
0.0000 6.0305 6.2230
2.1009 3.9723 9.0105
2.1009 -0.0438 2.9151
2.1009 0.0000 0.0000
2.1009 -0.2506 5.9686
0.0000 6.2373 3.1695
2.1009 4.2312 0.1344
```

total magnetization: 0.000 μB/atom
formation energy from raw total energies: -1.48 eV per atom
V: 26.51 Å³ per atom
space-group type: C2/m, No. 12
E_tot: -6.082 eV/atom

Record 4
Here is PmSmPSe after structural relaxation from Alexandria via LeMat-Bulk. Energies are from PBE.

```
PmSmPSe
1.0
-2.1839 -0.8670 -3.3223
2.4633 -2.8130 1.6075
-4.7383 -0.8228 5.8199
Se P Sm Pm
1 1 1 1
Cartesian
-2.9053 -2.2156 -0.4747
-3.4291 -2.5261 4.9337
-3.7641 -1.3492 2.3547
1.6671 -2.8705 1.6752
```

total magnetization: 0.000 μB/atom
formation energy from raw total energies: -1.72 eV per atom
V: 25.73 Å³ per atom
space-group type: R3m, No. 160
E_tot: -6.309 eV/atom

Record 5
Here is Pm6SnP2Se3 after structural relaxation from Alexandria via LeMat-Bulk. Energies are from PBE.

```
Pm6SnP2Se3
1.0
-3.3819 1.5553 -1.9676
-1.0819 -7.4433 -4.0241
-3.2674 -1.7619 8.7282
Pm Se P Sn
6 3 2 1
Cartesian
-7.3943 -5.7012 3.6978
-3.4889 -0.3092 1.2474
-3.7142 -3.8248 3.3607
-0.3369 -1.9487 -0.9613
-4.2423 -7.3408 1.4891
-4.0169 -3.8252 -0.6242
-2.2319 -2.9440 -2.9959
-2.5367 -6.5162 -0.7907
-5.1945 -1.1338 3.5272
-2.0333 -2.8347 1.2540
-5.6979 -4.8152 1.4824
-1.6909 0.7776 -0.9838
```

total magnetization: 0.000 μB/atom
formation energy from raw total energies: -1.60 eV per atom
V: 26.91 Å³ per atom
space-group type: C2/m, No. 12
E_tot: -6.081 eV/atom

Record 6
Here is Pm4SnPSe2 after structural relaxation from Alexandria via LeMat-Bulk. Energies are from PBE.

```
Pm4SnPSe2
1.0
-2.8513 -2.4104 -2.0501
1.9050 -5.8032 4.1736
-4.2391 -0.1563 6.0796
P Pm Se Sn
1 4 2 1
Cartesian
-1.1671 -2.9797 5.1266
-1.7070 -4.4629 7.6213
-1.1388 -5.5327 3.6640
-3.4784 -3.9071 0.5819
-4.0467 -2.8372 4.5392
-3.5452 -1.2834 2.0148
-4.2391 -0.1563 6.0796
-0.4732 -4.1068 1.0618
```

total magnetization: 0.000 μB/atom
formation energy from raw total energies: -1.51 eV per atom
V: 27.54 Å³ per atom
space-group type: P2/m, No. 10
E_tot: -5.933 eV/atom